# Ag2RuPbBr8 (GGA-PBE, relaxed)
# DFT total energy = -3.10 eV per atom
# formation energy without anion corrections = -0.428 eV per atom
data_Ag2RuPbBr8
_chemical_formula_sum 'Ag2 Ru1 Pb1 Br8'
_cell_length_a 6.830
_cell_length_b 8.328
_cell_length_c 7.157
_cell_angle_alpha 90.00
_cell_angle_beta 109.66
_cell_angle_gamma 90.00
_symmetry_space_group_name_H-M 'P 1 2/m 1'
_symmetry_Int_Tables_number 10
loop_
_symmetry_equiv_pos_as_xyz
'x,y,z'
'-x,-y,-z'
'-x,y,-z'
'x,-y,z'
loop_
_atom_site_label
_atom_site_type_symbol
_atom_site_fract_x
_atom_site_fract_y
_atom_site_fract_z
Ag1 Ag 0.000 0.243 0.000
Ru1 Ru 0.000 0.500 0.500
Pb1 Pb 0.000 0.000 0.500
Br1 Br 0.192 0.500 0.259
Br2 Br 0.245 0.290 0.708
Br3 Br 0.248 0.000 0.221